[1]
The following is a DFT calculation (PBE-GGA) of a relaxed KRb3Br crystal.

E_tot	-1.263	eV per atom

Lattice parameters (Å, degrees): 7.906 7.906 7.906 90.00 90.00 90.00
Element x y z (fractional)
K: 0.000 0.000 0.000
Br: 0.500 0.500 0.500
Rb: 0.000 0.500 0.000
Rb: 0.000 0.000 0.500
Rb: 0.500 0.000 0.000

[2]
The following is a DFT calculation (PBE-GGA) of a relaxed La4AgN2 crystal.

E_tot	-6.376	eV per atom

Lattice parameters (Å, degrees): 3.806 6.646 13.822 90.00 90.00 106.64
Each line ends with the local moment (μB).
Element x y z (fractional)
La: 0.763 0.525 0.104  0.03
La: 0.763 0.525 0.396  0.03
La: 0.237 0.475 0.896  0.03
La: 0.237 0.475 0.604  0.03
La: 0.921 0.843 0.750  0.06
La: 0.079 0.157 0.250  0.06
La: 0.500 0.000 0.000  0.02
La: 0.500 0.000 0.500  0.02
Ag: 0.609 0.218 0.750  0.01
Ag: 0.391 0.782 0.250  0.01
N: 0.141 0.281 0.447  0.00
N: 0.859 0.719 0.947  0.00
N: 0.141 0.281 0.053  0.00
N: 0.859 0.719 0.553  0.00

[3]
The following is a DFT calculation (PBE-GGA) of a relaxed Ac3SnI crystal.

E_tot	-4.224	eV per atom

Lattice parameters (Å, degrees): 4.637 9.451 9.443 105.18 90.00 90.00
Element x y z (fractional)
Ac: 0.750 0.574 0.371
Ac: 0.250 0.426 0.629
Ac: 0.750 0.331 0.966
Ac: 0.250 0.958 0.799
Ac: 0.250 0.669 0.034
Ac: 0.750 0.042 0.201
Sn: 0.250 0.314 0.233
Sn: 0.750 0.686 0.767
I: 0.250 0.850 0.401
I: 0.750 0.150 0.599

[4]
The following is a DFT calculation (PBE-GGA) of a relaxed TiNb2V crystal.

E_tot	-9.223	eV per atom

Lattice parameters (Å, degrees): 3.229 4.547 4.547 90.00 90.00 90.00
Element x y z (fractional)
Nb: 0.000 0.000 0.500
Nb: 0.000 0.500 0.000
Ti: 0.500 0.000 0.000
V: 0.500 0.500 0.500

[5]
The following is a DFT calculation (PBE-GGA) of a relaxed Mo3P crystal.

E_tot	-9.428	eV per atom

Lattice parameters (Å, degrees): 2.835 2.835 7.978 90.00 90.00 109.67
Element x y z (fractional)
Mo: 0.000 0.000 0.273
Mo: 0.500 0.500 0.000
Mo: 0.000 0.000 0.727
P: 0.500 0.500 0.500

[6]
The following is a DFT calculation (PBE-GGA) of a relaxed Cs2NaPb2S4 crystal.

E_tot	-3.755	eV per atom

Lattice parameters (Å, degrees): 5.280 7.919 7.613 102.40 90.00 109.47
Element x y z (fractional)
Cs: 0.868 0.737 0.427
Cs: 0.132 0.263 0.573
Na: 0.000 0.000 0.000
Pb: 0.355 0.709 0.947
Pb: 0.645 0.291 0.053
S: 0.805 0.611 0.853
S: 0.195 0.389 0.147
S: 0.490 0.981 0.238
S: 0.510 0.019 0.762

- What is the E_tot in the fifth record?
  -9.428 eV per atom

Repeat the second record exactly.
The following is a DFT calculation (PBE-GGA) of a relaxed La4AgN2 crystal.

E_tot	-6.376	eV per atom

Lattice parameters (Å, degrees): 3.806 6.646 13.822 90.00 90.00 106.64
Each line ends with the local moment (μB).
Element x y z (fractional)
La: 0.763 0.525 0.104  0.03
La: 0.763 0.525 0.396  0.03
La: 0.237 0.475 0.896  0.03
La: 0.237 0.475 0.604  0.03
La: 0.921 0.843 0.750  0.06
La: 0.079 0.157 0.250  0.06
La: 0.500 0.000 0.000  0.02
La: 0.500 0.000 0.500  0.02
Ag: 0.609 0.218 0.750  0.01
Ag: 0.391 0.782 0.250  0.01
N: 0.141 0.281 0.447  0.00
N: 0.859 0.719 0.947  0.00
N: 0.141 0.281 0.053  0.00
N: 0.859 0.719 0.553  0.00